[1]
The following is a PBE-GGA calculation of crystalline ZnMoCl2 at its relaxed geometry, from the Alexandria database.

Cell lengths 3.0891, 4.2524, 5.6188 Å; angles 90.00, 90.00, 90.00 degrees
Closest atoms and distances in Å follow each position.
Fractional coordinates of all 4 atoms:
1 Zn 0.0000 0.0000 0.0000  4 Cl 2.63
2 Mo 0.5000 0.0000 0.5000  4 Cl 2.63
3 Cl 0.0000 0.5000 0.5000  4 Mo 2.63
4 Cl 0.5000 0.5000 0.0000  4 Zn 2.63

Properties
raw formation energy: 0.34 eV per atom
crystal system: orthorhombic

---

[2]
The following is a PBE-GGA calculation of crystalline LiAl2Ag4 at its relaxed geometry, from the Alexandria database.

Cell lengths 5.4531, 5.4531, 5.4531 Å; angles 107.11, 107.11, 114.30 degrees
Closest atoms and distances in Å follow each position.
Fractional coordinates of all 7 atoms:
1 Li 0.0000 0.0000 0.0000  8 Ag 2.73
2 Al 0.0000 0.5000 0.5000  8 Ag 2.73, 2 Al 2.96
3 Al 0.5000 0.0000 0.5000  8 Ag 2.73, 2 Al 2.96
4 Ag 0.0000 0.0000 0.5000  4 Al 2.73, 2 Li 2.73, 2 Ag 2.96
5 Ag 0.0000 0.5000 0.0000  4 Al 2.73, 2 Li 2.73, 2 Ag 2.96
6 Ag 0.5000 0.0000 0.0000  4 Al 2.73, 2 Li 2.73, 2 Ag 2.96
7 Ag 0.5000 0.5000 0.5000  4 Al 2.73, 2 Li 2.73, 2 Ag 2.96

Properties
crystal system: tetragonal
formation energy from the elements: -100 meV per atom